No. 1
FeHg2Ir | PBE-GGA | relaxed

For the formation energy, the calculation gives 0.5084 eV/atom. Its total energy is -3.97 eV/atom. As for the crystal system: tetragonal.

The space group is I-4m2 (No. 119) and the conventional cell measures 4.1064, 4.1064 and 8.1785 Å, with angles of 90.00, 90.00 and 90.00 degrees. Symmetry generates all atoms from Fe at (0.0000, 0.0000, 0.0000), Hg at (0.0000, 0.0000, 0.5000), Hg at (0.0000, 0.5000, 0.7500) and Ir at (0.0000, 0.5000, 0.2500).

No. 2
NaMgIn2 | PBE-GGA | relaxed

For the formation energy, the calculation gives 0.0918 eV/atom. Its total energy is -2.01 eV/atom. As for the crystal system: tetragonal.

The space group is I-42d (No. 122) and the conventional cell measures 8.5036, 8.5036 and 6.3083 Å, with angles of 90.00, 90.00 and 90.00 degrees. Symmetry generates all atoms from Na at (0.0000, 0.0000, 0.0000), Mg at (0.0000, 0.0000, 0.5000) and In at (0.2253, 0.2500, 0.6250).

No. 3
Ac6AgPd5 | PBE-GGA | relaxed

For the formation energy, the calculation gives -0.6827 eV/atom. Its total energy is -5.14 eV/atom. As for the crystal system: monoclinic.

The space group is C2/m (No. 12) and the conventional cell measures 7.7200, 13.3284 and 7.7262 Å, with angles of 90.00, 109.35 and 90.00 degrees. Symmetry generates all atoms from Ac at (0.2390, 0.0000, 0.2549), Ac at (0.2413, 0.1730, 0.7427), Ag at (0.0000, 0.5000, 0.0000), Pd at (0.0000, 0.0000, 0.5000), Pd at (0.0000, 0.1672, 0.0000) and Pd at (0.0000, 0.3379, 0.5000).

No. 4
Mn2CoAu | PBE-GGA | relaxed

For the formation energy, the calculation gives 0.3539 eV/atom. Its total energy is -6.83 eV/atom. As for the crystal system: monoclinic.

The space group is C2/m (No. 12) and the conventional cell measures 8.5626, 2.6937 and 4.5397 Å, with angles of 90.00, 100.92 and 90.00 degrees. Symmetry generates all atoms from Mn at (0.2421, 0.0000, 0.1966), Co at (0.0000, 0.5000, 0.0000) and Au at (0.0000, 0.0000, 0.5000).

No. 5
KOsPdCl2 | PBE-GGA | relaxed

Its total energy is -3.80 eV/atom. The calculation puts the uncorrected formation energy at 0.446 eV per atom. As for the crystal system: tetragonal.

The space group is P4/mmm (No. 123) and the conventional cell measures 5.1099, 5.1099 and 5.1084 Å, with angles of 90.00, 90.00 and 90.00 degrees. Symmetry generates all atoms from K at (0.0000, 0.0000, 0.0000), Os at (0.5000, 0.5000, 0.0000), Pd at (0.5000, 0.5000, 0.5000) and Cl at (0.0000, 0.5000, 0.5000).

No. 6
TmPuCdOs | PBE-GGA | relaxed

For the formation energy, the calculation gives -0.0252 eV/atom. Its total energy is -7.76 eV/atom. As for the crystal system: cubic.

The space group is F-43m (No. 216) and the conventional cell measures 7.0561, 7.0561 and 7.0561 Å, with angles of 90.00, 90.00 and 90.00 degrees. Symmetry generates all atoms from Tm at (0.0000, 0.0000, 0.0000), Pu at (0.0000, 0.0000, 0.5000), Cd at (0.2500, 0.2500, 0.2500) and Os at (0.2500, 0.2500, 0.7500).

No. 7
HfCdH | PBE-GGA | relaxed

Its total energy is -4.86 eV/atom. As for the crystal system: tetragonal.

The space group is I4_1/a (No. 88, origin choice 2) and the conventional cell measures 14.3387, 14.3387 and 7.2130 Å, with angles of 90.00, 90.00 and 90.00 degrees. Symmetry generates all atoms from Hf at (0.1201, 0.4936, 0.2368), Hf at (0.1367, 0.0594, 0.3476), Cd at (0.0152, 0.1372, 0.9954), Cd at (0.0394, 0.3832, 0.5739), H at (0.1489, 0.0207, 0.0554) and H at (0.2074, 0.0080, 0.5568).

No. 8
K2BaNbN | PBE-GGA | relaxed

Its total energy is -2.28 eV/atom. The calculation puts the uncorrected formation energy at 2.220 eV per atom. As for the crystal system: tetragonal.

The space group is P4/mmm (No. 123) and the conventional cell measures 7.5303, 7.5303 and 5.4889 Å, with angles of 90.00, 90.00 and 90.00 degrees. Symmetry generates all atoms from K at (0.0000, 0.5000, 0.0000), Ba at (0.0000, 0.0000, 0.0000), Nb at (0.0000, 0.0000, 0.5000) and N at (0.5000, 0.5000, 0.5000).

No. 9
YTl2P | PBE-GGA | relaxed

For the formation energy, the calculation gives -0.3638 eV/atom. Its total energy is -4.52 eV/atom. As for the crystal system: monoclinic.

The space group is Cm (No. 8) and the conventional cell measures 9.8016, 4.0286 and 5.6541 Å, with angles of 90.00, 109.69 and 90.00 degrees. Symmetry generates all atoms from Y at (0.0000, 0.0000, 0.0000), Tl at (0.0807, 0.5000, 0.6168), Tl at (0.3065, 0.5000, 0.3768) and P at (0.2930, 0.0000, 0.0184).

No. 10
SmHoRh | PBE-GGA | relaxed

For the formation energy, the calculation gives -0.5386 eV/atom. Its total energy is -6.09 eV/atom. As for the crystal system: monoclinic.

The space group is C2/m (No. 12) and the conventional cell measures 6.4674, 6.4718 and 7.9561 Å, with angles of 90.00, 113.92 and 90.00 degrees. Symmetry generates all atoms from Sm at (0.1869, 0.0000, 0.3737), Ho at (0.2500, 0.2500, 0.0000) and Rh at (0.1243, 0.5000, 0.2507).

No. 11
PuSnAu4 | PBE-GGA | relaxed

For the formation energy, the calculation gives -0.2152 eV/atom. Its total energy is -5.46 eV/atom. As for the crystal system: monoclinic.

The space group is C2/m (No. 12) and the conventional cell measures 12.7743, 7.8713 and 5.4595 Å, with angles of 90.00, 97.11 and 90.00 degrees. Symmetry generates all atoms from Pu at (0.1727, 0.0000, 0.2675), Sn at (0.1758, 0.5000, 0.1769), Au at (0.0000, 0.2871, 0.0000), Au at (0.0730, 0.0000, 0.7442) and Au at (0.1167, 0.3192, 0.5829).

No. 12
FeCo2Tc | PBE-GGA | relaxed

For the formation energy, the calculation gives 0.0790 eV/atom. Its total energy is -8.18 eV/atom. As for the crystal system: tetragonal.

The space group is I-4m2 (No. 119) and the conventional cell measures 3.5884, 3.5884 and 7.2166 Å, with angles of 90.00, 90.00 and 90.00 degrees. Symmetry generates all atoms from Fe at (0.0000, 0.0000, 0.0000), Co at (0.0000, 0.0000, 0.5000), Co at (0.0000, 0.5000, 0.2500) and Tc at (0.0000, 0.5000, 0.7500).

What is the total energy in the fifth record?
-3.80 eV/atom

Which of these has the lowest total energy?
FeCo2Tc

Repeat the third record exactly.
Ac6AgPd5 | PBE-GGA | relaxed

For the formation energy, the calculation gives -0.6827 eV/atom. Its total energy is -5.14 eV/atom. As for the crystal system: monoclinic.

The space group is C2/m (No. 12) and the conventional cell measures 7.7200, 13.3284 and 7.7262 Å, with angles of 90.00, 109.35 and 90.00 degrees. Symmetry generates all atoms from Ac at (0.2390, 0.0000, 0.2549), Ac at (0.2413, 0.1730, 0.7427), Ag at (0.0000, 0.5000, 0.0000), Pd at (0.0000, 0.0000, 0.5000), Pd at (0.0000, 0.1672, 0.0000) and Pd at (0.0000, 0.3379, 0.5000).